Compound: CsNaIr2
Source: the Alexandria database
Functional: GGA-PBE
Structure: relaxed

Summary:
**Space group**: Fm-3m, No. 225
**Calculated density**: 10.55 g/cm3
**Energy of formation from the pure elements**: 1.644 eV per atom
**Size of the total moment**: 0.02 μB per cell
**Offset from the most stable computed form**: 513 meV per atom
**Uncorrected energy**: -13.3 eV/f.u.

a b c (Å): 4.9363 4.9363 4.9363
angles (deg): 60.00 60.00 60.00
Positions (direct):
Cs 0.5000 0.5000 0.5000
Na 0.0000 0.0000 0.0000
Ir 0.2500 0.2500 0.2500
Ir 0.7500 0.7500 0.7500

=====

Compound: PRuW3
Source: the Alexandria database
Functional: GGA-PBE
Structure: relaxed

Summary:
**Space group**: Pm-3m, No. 221
**Calculated density**: 13.32 g/cm3
**Energy of formation from the pure elements**: 1.012 eV per atom
**Size of the total moment**: 0.00 μB per cell
**Offset from the most stable computed form**: 0 meV per atom
**Uncorrected energy**: -48.5 eV/f.u.

a b c (Å): 4.4001 4.4001 4.4001
angles (deg): 90.00 90.00 90.00
Positions (direct):
Ru 0.5000 0.5000 0.5000
W 0.0000 0.5000 0.0000
W 0.0000 0.0000 0.5000
W 0.5000 0.0000 0.0000
P 0.0000 0.0000 0.0000

=====

Compound: Hg2OsPb
Source: the Alexandria database
Functional: GGA-PBE
Structure: relaxed

Summary:
**Space group**: Cmmm, No. 65
**Calculated density**: 15.61 g/cm3
**Energy of formation from the pure elements**: 0.889 eV per atom
**Size of the total moment**: 0.00 μB per cell
**Uncorrected energy**: -12.0 eV/f.u.

a b c (Å): 5.1966 5.1966 3.4387
angles (deg): 90.00 90.00 113.84
Positions (direct):
Hg 0.0000 0.0000 0.0000
Hg 0.5000 0.5000 0.0000
Os 0.5000 0.0000 0.5000
Pb 0.0000 0.5000 0.5000

=====

Compound: CuTe3Os
Source: the Alexandria database
Functional: GGA-PBE
Structure: relaxed

Summary:
**Space group**: Pm-3m, No. 221
**Calculated density**: 7.40 g/cm3
**Size of the total moment**: 0.00 μB per cell
**Offset from the most stable computed form**: 0 meV per atom
**Uncorrected energy**: -19.7 eV/f.u.

a b c (Å): 5.2275 5.2275 5.2275
angles (deg): 90.00 90.00 90.00
Positions (direct):
Te 0.0000 0.5000 0.0000
Te 0.0000 0.0000 0.5000
Te 0.5000 0.0000 0.0000
Os 0.0000 0.0000 0.0000
Cu 0.5000 0.5000 0.5000

=====

Compound: LaRe3Ag
Source: the Alexandria database
Functional: GGA-PBE
Structure: relaxed

Summary:
**Space group**: Pm-3m, No. 221
**Calculated density**: 11.91 g/cm3
**Energy of formation from the pure elements**: 3.027 eV per atom
**Size of the total moment**: 0.02 μB per cell
**Offset from the most stable computed form**: 724 meV per atom
**Uncorrected energy**: -30.0 eV/f.u.

a b c (Å): 4.8242 4.8242 4.8242
angles (deg): 90.00 90.00 90.00
Positions (direct):
Re 0.0000 0.5000 0.0000
Re 0.0000 0.0000 0.5000
Re 0.5000 0.0000 0.0000
Ag 0.5000 0.5000 0.5000
La 0.0000 0.0000 0.0000

=====

Compound: InGe2Te6
Source: the Alexandria database
Functional: GGA-PBE
Structure: relaxed

Summary:
**Space group**: C2/c, No. 15
**Calculated density**: 5.33 g/cm3
**Size of the total moment**: 0.00 μB per cell
**Uncorrected energy**: -31.0 eV/f.u.

a b c (Å): 6.7485 10.1017 10.1017
angles (deg): 91.09 74.89 74.89
Positions (direct):
In 0.2500 0.1887 0.8113
In 0.7500 0.8113 0.1887
Ge 0.1939 0.6241 0.7819
Ge 0.3061 0.2181 0.3759
Ge 0.8061 0.3759 0.2181
Ge 0.6939 0.7819 0.6241
Te 0.3939 0.7061 0.5476
Te 0.1061 0.4524 0.2939
Te 0.6061 0.2939 0.4524
Te 0.8939 0.5476 0.7061
Te 0.9278 0.8593 0.4032
Te 0.5722 0.5968 0.1407
Te 0.0722 0.1407 0.5968
Te 0.4278 0.4032 0.8593
Te 0.1161 0.8311 0.9705
Te 0.3839 0.0295 0.1689
Te 0.8839 0.1689 0.0295
Te 0.6161 0.9705 0.8311

=====

- What is the formula in the first record?
  CsNaIr2